Compound: AlCd3Au3
Source: Alexandria
Functional: PBE-GGA
Structure: relaxed

a = 8.2980 Å, b = 10.7022 Å, c = 6.9731 Å
α = 90.00°, β = 93.78°, γ = 90.00°
With the nearest neighbours (Å) after each atom.
Space group C2/m (No. 12)
One atom of each set of equivalent atoms:
Al  0.2423  0.0000  0.3777 [4 per cell]  4 Au 2.50-2.75
Cd  0.0000  0.1388  0.0000 [4 per cell]  6 Au 2.79-2.83, 1 Cd 2.97
Cd  0.0000  0.2564  0.5000 [4 per cell]  4 Au 2.81-3.08
Cd  0.0927  0.5000  0.1909 [4 per cell]  3 Au 2.74-2.97, 1 Cd 2.99
Au  0.0887  0.0000  0.6779 [4 per cell]  2 Al 2.52-2.75, 1 Cd 2.74, 1 Au 2.80
Au  0.1841  0.3239  0.8361 [8 per cell]  1 Al 2.50, 1 Cd 2.79

---

Compound: Al2CdAu
Source: Alexandria
Functional: PBE-GGA
Structure: relaxed

a = 4.2024 Å, b = 4.2024 Å, c = 8.2803 Å
α = 90.00°, β = 90.00°, γ = 90.00°
With the nearest neighbours (Å) after each atom.
Space group I4/mmm (No. 139)
One atom of each set of equivalent atoms:
Al  0.0000  0.5000  0.2500 [4 per cell]  4 Cd 2.95, 4 Au 2.95, 4 Al 2.97
Cd  0.0000  0.0000  0.0000 [2 per cell]  8 Al 2.95, 4 Au 2.97
Au  0.0000  0.0000  0.5000 [2 per cell]  8 Al 2.95, 4 Cd 2.97

---

Compound: AlCd2Au
Source: Alexandria
Functional: PBE-GGA
Structure: relaxed

a = 5.1189 Å, b = 5.1189 Å, c = 3.0357 Å
α = 90.00°, β = 90.00°, γ = 90.00°
With the nearest neighbours (Å) after each atom.
Space group P4/mmm (No. 123)
One atom of each set of equivalent atoms:
Al  0.0000  0.0000  0.0000 [1 per cell]  8 Cd 2.98, 2 Al 3.04
Cd  0.0000  0.5000  0.5000 [2 per cell]  4 Al 2.98, 4 Au 2.98, 2 Cd 3.04
Au  0.5000  0.5000  0.0000 [1 per cell]  8 Cd 2.98, 2 Au 3.04

---

Compound: AlCd2Au
Source: Alexandria
Functional: PBE-GGA
Structure: relaxed

a = 5.5722 Å, b = 8.2154 Å, c = 3.5040 Å
α = 90.00°, β = 90.00°, γ = 90.00°
With the nearest neighbours (Å) after each atom.
Space group Cmmm (No. 65)
One atom of each set of equivalent atoms:
Al  0.0000  0.0000  0.0000 [2 per cell]  2 Au 2.79, 8 Cd 3.04
Cd  0.2500  0.2500  0.5000 [4 per cell]  2 Cd 2.79, 4 Al 3.04, 4 Au 3.04
Au  0.0000  0.5000  0.0000 [2 per cell]  2 Al 2.79, 8 Cd 3.04

---

Taking the records one at a time from the top gives ΔH_f (0 K) values of -0.12 -0.02 0.04 -0.04 eV/atom.
Taking the records one at a time from the top gives uncorrected energy values of -2.447 -2.939 -2.176 -2.252 eV per atom.